First-principles (GGA-PBE) data for a geometry-optimized Zr4Fe2Ge5 structure, as listed in Alexandria.

Values from the calculation:
Final energy (eV for the cell shown): -321.4
Crystal system: orthorhombic
Energy relative to the elements (eV per atom): -0.5582

Cell lengths 8.280, 17.135, 5.344 Å; angles 90.00, 90.00, 90.00 degrees
Space group Ibam (No. 72)
Unique sites:
Zr (0.102, 0.145, 0.000) [8 per cell]
Zr (0.223, 0.440, 0.000) [8 per cell]
Fe (0.000, 0.301, 0.250) [8 per cell]
Ge (0.000, 0.000, 0.250) [4 per cell]
Ge (0.099, 0.414, 0.500) [8 per cell]
Ge (0.204, 0.216, 0.500) [8 per cell]